(1)
Here is an optimized crystal structure of MnRe3As from the Alexandria database. Energies are from PBE.

## Properties
Calculated formation energy   1988.8 meV/atom

a = 4.483 Å, b = 4.483 Å, c = 4.483 Å
α = 90.00°, β = 90.00°, γ = 90.00°
Space group Pm-3m (No. 221)
Unique sites:
Mn: 0.000 0.000 0.000 x1
Re: 0.000 0.500 0.500 x3
As: 0.500 0.500 0.500 x1


(2)
Here is an optimized crystal structure of MnRe2As from the Alexandria database. Energies are from PBE.

## Properties
Calculated formation energy   501.0 meV/atom

a = 3.012 Å, b = 4.468 Å, c = 8.924 Å
α = 90.00°, β = 90.00°, γ = 90.00°
Space group Cmmm (No. 65)
Unique sites:
Mn: 0.000 0.000 0.000 x2
Re: 0.000 0.500 0.228 x4
As: 0.000 0.000 0.500 x2